# 1
VASP calculation (GGA-PBE) on an optimized crystal structure of CsHfBS4.

Unit cell a=5.8555 b=6.4190 c=9.1640 alpha=90.00 beta=106.65 gamma=90.00
Last column: nearest neighbours and their distance in Å.
Space group P2_1/m (No. 11)
One atom of each set of equivalent atoms:
Cs: 0.2184 0.2500 0.4394 [2 per cell]  8 S 3.37-3.76
Hf: 0.3209 0.7500 0.0446 [2 per cell]  6 S 2.52-2.66
B: 0.1359 0.2500 0.8523 [2 per cell]  4 S 1.91-1.96
S: 0.1263 0.2500 0.0592 [2 per cell]  1 B 1.91
S: 0.1826 0.7500 0.2820 [2 per cell]  1 B 1.92
S: 0.3230 0.0102 0.8188 [4 per cell]  1 B 1.96

=====

# 2
VASP calculation (GGA-PBE) on an optimized crystal structure of Li2OsBr.

Properties
DOS at the Fermi energy: 4.8 states/eV/cell
ΔE to the lowest computed polymorph: 429 meV per atom

Unit cell a=2.9340 b=4.7445 c=10.8252 alpha=90.00 beta=90.00 gamma=90.00
Last column: nearest neighbours and their distance in Å.
Space group Cmm2 (No. 35)
One atom of each set of equivalent atoms:
Li: 0.0000 0.0000 0.0000 [2 per cell]  2 Os 2.59, 4 Li 2.79
Li: 0.0000 0.5000 0.2530 [2 per cell]  2 Br 2.42
Os: 0.0000 0.5000 0.8026 [2 per cell]  2 Li 2.59, 4 Os 2.79
Br: 0.0000 0.0000 0.4306 [2 per cell]  2 Li 2.42

=====

Number 1: magnetization 0.00 μB/atom, E_form (uncorrected) -1129 meV/atom. Number 2: magnetization 0.00 μB/atom, E_form (uncorrected) 450 meV/atom.